Entry 1:
Crystalline Cu3PbSe3 at its relaxed geometry. Source: Alexandria via LeMat-Bulk, functional PBE. Values from VASP.

Summary:
**E_form (uncorrected)**: -0.2162 eV per atom

Geometry as Quantum ESPRESSO input:
```
&SYSTEM
  ibrav = 0, nat = 14, ntyp = 3
/
ATOMIC_SPECIES
Cu 63.55 Cu.upf
Pb 207.20 Pb.upf
Se 78.96 Se.upf
CELL_PARAMETERS angstrom
3.500 2.021 7.262
-3.500 2.021 7.262
0.000 -4.041 7.262
ATOMIC_POSITIONS angstrom
Cu -2.239 -0.046 10.058
Cu -1.080 -1.962 11.728
Cu 1.159 -1.916 10.058
Cu -1.159 1.916 11.728
Cu 1.080 1.962 10.058
Cu 2.239 0.046 11.728
Pb 0.000 0.000 7.342
Pb 0.000 0.000 14.445
Se -1.171 -2.091 9.239
Se -2.396 -0.031 12.547
Se -1.225 2.060 9.239
Se 1.225 -2.060 12.547
Se 2.396 0.031 9.239
Se 1.171 2.091 12.547
```


Entry 2:
Crystalline MgZrZn2 at its relaxed geometry. Source: Alexandria via LeMat-Bulk, functional PBE. Values from VASP.

Summary:
**VASP energy**: -0.24178 Ry/atom

Geometry as Quantum ESPRESSO input:
```
&SYSTEM
  ibrav = 0, nat = 4, ntyp = 3
/
ATOMIC_SPECIES
Mg 24.30 Mg.upf
Zr 91.22 Zr.upf
Zn 65.41 Zn.upf
CELL_PARAMETERS angstrom
3.073 0.000 0.000
0.000 3.073 0.000
0.000 0.000 7.768
ATOMIC_POSITIONS angstrom
Mg 0.000 0.000 0.000
Zr 1.537 1.537 5.390
Zn 0.000 0.000 3.435
Zn 1.537 1.537 1.895
```


Entry 3:
Crystalline RbHf2Se2 at its relaxed geometry. Source: Alexandria via LeMat-Bulk, functional PBE. Values from VASP.

Summary:
**E_form (uncorrected)**: -0.7769 eV per atom

Geometry as Quantum ESPRESSO input:
```
&SYSTEM
  ibrav = 0, nat = 5, ntyp = 3
/
ATOMIC_SPECIES
Rb 85.47 Rb.upf
Hf 178.49 Hf.upf
Se 78.96 Se.upf
CELL_PARAMETERS angstrom
-2.074 2.074 7.770
2.074 -2.074 7.770
2.074 2.074 -7.770
ATOMIC_POSITIONS angstrom
Rb 0.000 0.000 0.000
Hf 2.074 0.000 3.885
Hf 0.000 2.074 3.885
Se 0.000 0.000 5.734
Se 0.000 0.000 9.805
```


Entry 4:
Crystalline Cu3Tc at its relaxed geometry. Source: Alexandria via LeMat-Bulk, functional PBE. Values from VASP.

Summary:
**VASP energy**: -0.40430 Ry/atom

Geometry as Quantum ESPRESSO input:
```
&SYSTEM
  ibrav = 0, nat = 4, ntyp = 2
/
ATOMIC_SPECIES
Cu 63.55 Cu.upf
Tc 98.00 Tc.upf
CELL_PARAMETERS angstrom
2.623 0.000 0.000
-1.311 2.272 0.000
0.000 0.000 8.628
ATOMIC_POSITIONS angstrom
Cu 0.000 0.000 0.000
Cu 0.000 1.514 2.092
Cu 0.000 1.514 6.537
Tc 0.000 0.000 4.314
```


no.,spin magnetization (μB/cell),DOS(E_F) (states/eV/f.u.)
1,0.00,4.9
2,0.00,2.6
3,0.00,5.4
4,0.00,3.1